(1)
Material: NaPrNO
Method: DFT, GGA-PBE
State: optimized geometry

energy above the lowest structure with this stoichiometry = 0.0105 eV/atom
raw total energy = -97.1 eV per cell
V = 254.5 Å³ per cell
crystal system = orthorhombic
symmetry = No. 29

The structure in POSCAR format:
```
NaPrNO
1.0
-3.235 5.163 -0.766
-4.877 -3.618 -3.792
-2.942 -1.123 4.855
N Na O Pr
4 4 4 4
direct
0.251 0.136 0.176
0.751 0.864 0.176
0.249 0.136 0.676
0.749 0.864 0.676
0.584 0.110 0.427
0.084 0.890 0.427
0.916 0.110 0.927
0.416 0.890 0.927
0.750 0.419 0.174
0.250 0.581 0.174
0.750 0.419 0.674
0.250 0.581 0.674
0.065 0.360 0.425
0.565 0.640 0.425
0.435 0.360 0.925
0.935 0.640 0.925
```


(2)
Material: La2GdSn2Pb5
Method: DFT, GGA-PBE
State: optimized geometry

energy above the lowest structure with this stoichiometry = 0.0101 eV/atom
raw total energy = -45.9 eV per cell
V = 294.9 Å³ per cell
crystal system = orthorhombic
symmetry = No. 65

The structure in POSCAR format:
```
La2GdSn2Pb5
1.0
2.368 -13.110 0.000
2.368 13.110 0.000
0.000 0.000 4.750
Gd La Pb Sn
1 2 5 2
direct
0.000 0.000 0.000
0.815 0.185 0.000
0.185 0.815 0.000
0.594 0.406 0.000
0.406 0.594 0.000
0.708 0.292 0.500
0.500 0.500 0.500
0.292 0.708 0.500
0.906 0.094 0.500
0.094 0.906 0.500
```


(3)
Material: AgPtWAu
Method: DFT, GGA-PBE
State: optimized geometry

energy above the lowest structure with this stoichiometry = 0.0000 eV/atom
raw total energy = -23.7 eV per cell
V = 66.9 Å³ per cell
crystal system = cubic
symmetry = No. 216
E_form = 341 meV/atom

The structure in POSCAR format:
```
AgPtWAu
1.0
0.000 3.222 3.222
3.222 0.000 3.222
3.222 3.222 0.000
Ag Au Pt W
1 1 1 1
direct
0.500 0.500 0.500
0.750 0.750 0.750
0.250 0.250 0.250
0.000 0.000 0.000
```


(4)
Material: MgCdAu2
Method: DFT, GGA-PBE
State: optimized geometry

raw total energy = -63.7 eV per cell
V = 448.6 Å³ per cell
crystal system = tetragonal
symmetry = No. 139

The structure in POSCAR format:
```
MgCdAu2
1.0
-2.917 -3.692 0.508
3.579 -3.441 -4.464
8.191 -5.034 10.447
Au Cd Mg
12 6 6
direct
0.500 0.250 0.000
0.500 0.750 0.000
0.000 0.250 0.167
0.000 0.750 0.167
0.500 0.250 0.333
0.500 0.750 0.333
0.000 0.250 0.500
0.000 0.750 0.500
0.500 0.250 0.667
0.500 0.750 0.667
0.000 0.250 0.833
0.000 0.750 0.833
0.000 0.500 0.000
0.500 0.000 0.167
0.000 0.500 0.333
0.500 0.000 0.500
0.000 0.500 0.667
0.500 0.000 0.833
0.000 0.000 0.000
0.500 0.500 0.167
0.000 0.000 0.333
0.500 0.500 0.500
0.000 0.000 0.667
0.500 0.500 0.833
```


(5)
Material: Lu4SiPC2
Method: DFT, GGA-PBE
State: optimized geometry

raw total energy = -52.2 eV per cell
V = 147.9 Å³ per cell
crystal system = hexagonal
symmetry = No. 187

The structure in POSCAR format:
```
Lu4SiPC2
1.0
3.514 0.000 0.000
-1.757 3.043 0.000
0.000 0.000 13.827
C Lu P Si
2 4 1 1
direct
0.333 0.667 0.240
0.333 0.667 0.760
0.667 0.333 0.143
0.000 0.000 0.334
0.000 0.000 0.666
0.667 0.333 0.857
0.000 0.000 0.000
0.667 0.333 0.500
```


(6)
Material: LiAl2Ir
Method: DFT, GGA-PBE
State: optimized geometry

energy above the lowest structure with this stoichiometry = 0.2939 eV/atom
raw total energy = -20.0 eV per cell
V = 54.7 Å³ per cell
crystal system = cubic
symmetry = No. 216

The structure in POSCAR format:
```
LiAl2Ir
1.0
0.000 3.012 3.012
3.012 0.000 3.012
3.012 3.012 0.000
Al Ir Li
2 1 1
direct
0.000 0.000 0.000
0.250 0.250 0.250
0.500 0.500 0.500
0.750 0.750 0.750
```


(7)
Material: AcMgHg
Method: DFT, GGA-PBE
State: optimized geometry

energy above the lowest structure with this stoichiometry = 0.0000 eV/atom
raw total energy = -6.6 eV per cell
V = 100.1 Å³ per cell
crystal system = cubic
symmetry = No. 216

The structure in POSCAR format:
```
AcMgHg
1.0
0.000 3.685 3.685
3.685 0.000 3.685
3.685 3.685 0.000
Ac Hg Mg
1 1 1
direct
0.250 0.250 0.250
0.000 0.000 0.000
0.750 0.750 0.750
```


(8)
Material: Rb2Dy2AsP
Method: DFT, GGA-PBE
State: optimized geometry

energy above the lowest structure with this stoichiometry = 0.0000 eV/atom
raw total energy = -25.4 eV per cell
V = 205.5 Å³ per cell
crystal system = tetragonal
symmetry = No. 99

The structure in POSCAR format:
```
Rb2Dy2AsP
1.0
-2.189 1.667 4.178
-3.808 -3.160 -0.734
3.930 -5.746 4.351
As Dy P Rb
1 2 1 2
direct
0.000 0.000 0.175
0.500 0.000 0.994
0.000 0.500 0.994
0.500 0.500 0.839
0.500 0.500 0.375
0.000 0.000 0.622
```


(9)
Material: LiCu3IrSe4
Method: DFT, GGA-PBE
State: optimized geometry

raw total energy = -36.9 eV per cell
V = 183.2 Å³ per cell
crystal system = cubic
symmetry = No. 215

The structure in POSCAR format:
```
LiCu3IrSe4
1.0
5.679 0.000 0.000
0.000 5.679 0.000
0.000 0.000 5.679
Cu Ir Li Se
3 1 1 4
direct
0.500 0.000 0.000
0.000 0.500 0.000
0.000 0.000 0.500
0.000 0.000 0.000
0.500 0.500 0.500
0.750 0.250 0.250
0.250 0.750 0.250
0.250 0.250 0.750
0.750 0.750 0.750
```


(10)
Material: K2RbGa3Au2
Method: DFT, GGA-PBE
State: optimized geometry

raw total energy = -18.8 eV per cell
V = 312.2 Å³ per cell
crystal system = monoclinic
symmetry = No. 8

The structure in POSCAR format:
```
K2RbGa3Au2
1.0
-6.453 3.579 5.077
-8.571 -0.140 2.599
2.023 -4.675 5.286
Au Ga K Rb
2 3 2 1
direct
0.200 0.200 0.514
0.780 0.780 0.555
0.190 0.190 0.171
0.759 0.759 0.191
0.177 0.177 0.840
0.378 0.378 0.372
0.586 0.586 0.470
0.930 0.930 0.887
```


(11)
Material: Hf4Cu3Mo2N3
Method: DFT, GGA-PBE
State: optimized geometry

raw total energy = -211.1 eV per cell
V = 336.5 Å³ per cell
crystal system = monoclinic
symmetry = No. 15

The structure in POSCAR format:
```
Hf4Cu3Mo2N3
1.0
4.751 -2.760 0.000
4.751 2.760 0.000
-3.125 0.000 12.833
Cu Hf Mo N
6 8 4 6
direct
0.420 0.315 0.249
0.155 0.845 0.250
0.685 0.580 0.251
0.315 0.420 0.749
0.845 0.155 0.750
0.580 0.685 0.751
0.698 0.868 0.105
0.033 0.200 0.106
0.800 0.967 0.394
0.132 0.302 0.395
0.868 0.698 0.605
0.200 0.033 0.606
0.967 0.800 0.894
0.302 0.132 0.895
0.361 0.523 0.072
0.477 0.639 0.428
0.523 0.361 0.572
0.639 0.477 0.928
0.681 0.138 0.000
0.000 0.500 0.000
0.319 0.862 0.000
0.138 0.681 0.500
0.500 0.000 0.500
0.862 0.319 0.500
```


(12)
Material: Ba2TbOsSe6
Method: DFT, GGA-PBE
State: optimized geometry

raw total energy = -51.9 eV per cell
V = 282.1 Å³ per cell
crystal system = triclinic
symmetry = No. 2

The structure in POSCAR format:
```
Ba2TbOsSe6
1.0
7.234 0.000 0.000
3.542 6.354 0.000
3.496 1.937 6.138
Ba Os Se Tb
2 1 6 1
direct
0.749 0.255 0.246
0.251 0.745 0.754
0.500 0.000 0.000
0.789 0.732 0.185
0.304 0.722 0.204
0.273 0.161 0.311
0.727 0.839 0.689
0.696 0.278 0.796
0.211 0.268 0.815
0.000 0.500 0.500
```


(13)
Material: LiAlPt
Method: DFT, GGA-PBE
State: optimized geometry

energy above the lowest structure with this stoichiometry = 0.0006 eV/atom
raw total energy = -57.0 eV per cell
V = 170.3 Å³ per cell
crystal system = orthorhombic
symmetry = No. 62

The structure in POSCAR format:
```
LiAlPt
1.0
-0.292 -3.481 3.854
-0.956 -3.041 -2.819
7.486 -1.567 -0.848
Al Li Pt
4 4 4
direct
0.683 0.250 0.084
0.183 0.250 0.416
0.817 0.750 0.584
0.317 0.750 0.916
0.960 0.750 0.248
0.460 0.750 0.252
0.540 0.250 0.748
0.040 0.250 0.752
0.190 0.250 0.079
0.690 0.250 0.421
0.310 0.750 0.579
0.810 0.750 0.921
```


(14)
Material: AcLuMg
Method: DFT, GGA-PBE
State: optimized geometry

energy above the lowest structure with this stoichiometry = 0.0000 eV/atom
raw total energy = -9.0 eV per cell
V = 113.3 Å³ per cell
crystal system = cubic
symmetry = No. 216

The structure in POSCAR format:
```
AcLuMg
1.0
0.000 3.841 3.841
3.841 0.000 3.841
3.841 3.841 0.000
Ac Lu Mg
1 1 1
direct
0.250 0.250 0.250
0.750 0.750 0.750
0.000 0.000 0.000
```


(15)
Material: LaYIr
Method: DFT, GGA-PBE
State: optimized geometry

energy above the lowest structure with this stoichiometry = 0.0000 eV/atom
raw total energy = -20.0 eV per cell
V = 77.2 Å³ per cell
crystal system = cubic
symmetry = No. 216
E_form = 95 meV/atom

The structure in POSCAR format:
```
LaYIr
1.0
0.000 3.380 3.380
3.380 0.000 3.380
3.380 3.380 0.000
Ir La Y
1 1 1
direct
0.250 0.250 0.250
0.750 0.750 0.750
0.000 0.000 0.000
```


(16)
Material: Sr2AgCl2
Method: DFT, GGA-PBE
State: optimized geometry

energy above the lowest structure with this stoichiometry = 0.0000 eV/atom
raw total energy = -32.9 eV per cell
V = 322.1 Å³ per cell
crystal system = tetragonal
symmetry = No. 139

The structure in POSCAR format:
```
Sr2AgCl2
1.0
-0.922 -12.229 0.878
-7.673 -9.391 2.026
3.592 10.602 -5.085
Ag Cl Sr
2 4 4
direct
0.406 0.406 0.000
0.594 0.594 0.000
0.067 0.067 0.000
0.933 0.933 0.000
0.750 0.250 0.500
0.250 0.750 0.500
0.187 0.187 0.000
0.813 0.813 0.000
0.500 0.000 0.500
0.000 0.500 0.500
```


(17)
Material: YMgFeBi
Method: DFT, GGA-PBE
State: optimized geometry

energy above the lowest structure with this stoichiometry = 0.0727 eV/atom
raw total energy = -19.7 eV per cell
V = 90.9 Å³ per cell
crystal system = cubic
symmetry = No. 216

The structure in POSCAR format:
```
YMgFeBi
1.0
0.796 1.590 4.724
-3.508 2.759 2.359
-2.637 -1.996 3.813
Bi Fe Mg Y
1 1 1 1
direct
0.000 0.000 0.000
0.750 0.750 0.750
0.500 0.500 0.500
0.250 0.250 0.250
```


(18)
Material: NiGeOsPd
Method: DFT, GGA-PBE
State: optimized geometry

raw total energy = -25.0 eV per cell
V = 56.6 Å³ per cell
crystal system = cubic
symmetry = No. 216

The structure in POSCAR format:
```
NiGeOsPd
1.0
0.000 3.047 3.047
3.047 0.000 3.047
3.047 3.047 0.000
Ge Ni Os Pd
1 1 1 1
direct
0.000 0.000 0.000
0.750 0.750 0.750
0.500 0.500 0.500
0.250 0.250 0.250
```


(19)
Material: HfBeCoB
Method: DFT, GGA-PBE
State: optimized geometry

energy above the lowest structure with this stoichiometry = 0.0000 eV/atom
raw total energy = -27.9 eV per cell
V = 43.2 Å³ per cell
crystal system = cubic
symmetry = No. 216

The structure in POSCAR format:
```
HfBeCoB
1.0
1.245 -3.567 1.114
-2.098 -2.098 2.591
-1.937 -3.220 -1.182
B Be Co Hf
1 1 1 1
direct
0.000 0.000 0.000
0.500 0.500 0.500
0.750 0.750 0.750
0.250 0.250 0.250
```


(20)
Material: BaBeMo
Method: DFT, GGA-PBE
State: optimized geometry

energy above the lowest structure with this stoichiometry = 0.7063 eV/atom
raw total energy = -10.0 eV per cell
V = 95.7 Å³ per cell
crystal system = cubic
symmetry = No. 216

The structure in POSCAR format:
```
BaBeMo
1.0
0.000 3.630 3.630
3.630 0.000 3.630
3.630 3.630 0.000
Ba Be Mo
1 1 1
direct
0.000 0.000 0.000
0.250 0.250 0.250
0.750 0.750 0.750
```